[1]
The following is a DFT calculation (PBE) of a geometry-optimized MgMn2Au structure. Values from VASP.

Values from the calculation:
The value obtained for the density of states at the Fermi level is 0.739 states/eV per atom. The value obtained for the total magnetic moment is 7.14 μB/f.u. Its energy of formation from the pure elements is 110 meV/atom.

```
&SYSTEM
  ibrav = 0, nat = 4, ntyp = 3
/
ATOMIC_SPECIES
Mg 24.30 Mg.upf
Mn 54.94 Mn.upf
Au 196.97 Au.upf
CELL_PARAMETERS angstrom
4.6938 -1.4882 0.0000
4.6938 1.4882 0.0000
-1.1010 0.0000 4.6966
ATOMIC_POSITIONS crystal
Mg 0.0000 0.0000 0.0000
Mn 0.2421 0.2421 0.7351
Mn 0.4972 0.4972 0.5062
Au 0.7507 0.7507 0.2478
```

[2]
The following is a DFT calculation (PBE) of a geometry-optimized MgMn2Au2 structure. Values from VASP.

Values from the calculation:
The value obtained for the density of states at the Fermi level is 0.633 states/eV per atom. The value obtained for the total magnetic moment is 2.72 μB/f.u. Its energy of formation from the pure elements is 309 meV/atom.

```
&SYSTEM
  ibrav = 0, nat = 5, ntyp = 3
/
ATOMIC_SPECIES
Mg 24.30 Mg.upf
Mn 54.94 Mn.upf
Au 196.97 Au.upf
CELL_PARAMETERS angstrom
-2.1342 2.1342 4.8179
2.1342 -2.1342 4.8179
2.1342 2.1342 -4.8179
ATOMIC_POSITIONS crystal
Mg 0.0000 0.0000 0.0000
Mn 0.4025 0.4025 0.0000
Mn 0.5975 0.5975 0.0000
Au 0.2500 0.7500 0.5000
Au 0.7500 0.2500 0.5000
```

[3]
The following is a DFT calculation (PBE) of a geometry-optimized Mg3MnAu structure. Values from VASP.

Values from the calculation:
The value obtained for the density of states at the Fermi level is 0.896 states/eV per atom. The value obtained for the total magnetic moment is 4.52 μB/f.u. Its energy of formation from the pure elements is 291 meV/atom.

```
&SYSTEM
  ibrav = 0, nat = 5, ntyp = 3
/
ATOMIC_SPECIES
Mg 24.30 Mg.upf
Mn 54.94 Mn.upf
Au 196.97 Au.upf
CELL_PARAMETERS angstrom
5.0614 0.0000 0.0000
0.0000 5.0614 0.0000
0.0000 0.0000 5.0614
ATOMIC_POSITIONS crystal
Mg 0.0000 0.0000 0.5000
Mg 0.0000 0.5000 0.0000
Mg 0.5000 0.0000 0.0000
Mn 0.5000 0.5000 0.5000
Au 0.0000 0.0000 0.0000
```

[4]
The following is a DFT calculation (PBE) of a geometry-optimized MgMnAu4 structure. Values from VASP.

Values from the calculation:
The value obtained for the density of states at the Fermi level is 0.404 states/eV per atom. The value obtained for the total magnetic moment is 4.16 μB/f.u. Its energy of formation from the pure elements is -272 meV/atom. The value obtained for the distance to the lowest polymorph of the same formula is 0 meV per atom.

```
&SYSTEM
  ibrav = 0, nat = 6, ntyp = 3
/
ATOMIC_SPECIES
Mg 24.30 Mg.upf
Mn 54.94 Mn.upf
Au 196.97 Au.upf
CELL_PARAMETERS angstrom
3.4334 0.0000 0.0000
0.0000 3.4334 0.0000
0.0000 0.0000 8.9367
ATOMIC_POSITIONS crystal
Mg 0.0000 0.0000 0.0000
Mn 0.5000 0.5000 0.5000
Au 0.0000 0.0000 0.3418
Au 0.0000 0.0000 0.6582
Au 0.5000 0.5000 0.1629
Au 0.5000 0.5000 0.8371
```

[5]
The following is a DFT calculation (PBE) of a geometry-optimized Mg2MnAu structure. Values from VASP.

Values from the calculation:
The value obtained for the density of states at the Fermi level is 0.770 states/eV per atom. The value obtained for the total magnetic moment is 3.85 μB/f.u. Its energy of formation from the pure elements is 146 meV/atom.

```
&SYSTEM
  ibrav = 0, nat = 8, ntyp = 3
/
ATOMIC_SPECIES
Mg 24.30 Mg.upf
Mn 54.94 Mn.upf
Au 196.97 Au.upf
CELL_PARAMETERS angstrom
-3.7598 3.7598 2.8093
3.7598 -3.7598 2.8093
3.7598 3.7598 -2.8093
ATOMIC_POSITIONS crystal
Mg 0.1054 0.6250 0.9804
Mg 0.3750 0.3554 0.4804
Mg 0.6446 0.1250 0.0196
Mg 0.8750 0.8946 0.5196
Mn 0.2500 0.7500 0.5000
Mn 0.5000 0.5000 0.0000
Au 0.0000 0.0000 0.0000
Au 0.7500 0.2500 0.5000
```

[6]
The following is a DFT calculation (PBE) of a geometry-optimized MgMnAu6 structure. Values from VASP.

Values from the calculation:
The value obtained for the density of states at the Fermi level is 0.383 states/eV per atom. The value obtained for the total magnetic moment is 4.27 μB/f.u. Its energy of formation from the pure elements is -231 meV/atom. The value obtained for the distance to the lowest polymorph of the same formula is 0 meV per atom.

```
&SYSTEM
  ibrav = 0, nat = 8, ntyp = 3
/
ATOMIC_SPECIES
Mg 24.30 Mg.upf
Mn 54.94 Mn.upf
Au 196.97 Au.upf
CELL_PARAMETERS angstrom
4.6317 -2.0389 0.0000
4.6317 2.0389 0.0000
-3.7101 0.0000 7.4355
ATOMIC_POSITIONS crystal
Mg 0.0000 0.0000 0.0000
Mn 0.0000 0.0000 0.5000
Au 0.2504 0.2504 0.8730
Au 0.2523 0.2523 0.3785
Au 0.4987 0.4987 0.2507
Au 0.5013 0.5013 0.7493
Au 0.7477 0.7477 0.6215
Au 0.7496 0.7496 0.1270
```

[7]
The following is a DFT calculation (PBE) of a geometry-optimized Mg2MnAu9 structure. Values from VASP.

Values from the calculation:
The value obtained for the density of states at the Fermi level is 0.362 states/eV per atom. The value obtained for the total magnetic moment is 4.41 μB/f.u. Its energy of formation from the pure elements is -267 meV/atom.

```
&SYSTEM
  ibrav = 0, nat = 12, ntyp = 3
/
ATOMIC_SPECIES
Mg 24.30 Mg.upf
Mn 54.94 Mn.upf
Au 196.97 Au.upf
CELL_PARAMETERS angstrom
4.1477 0.0000 0.0000
0.0000 4.1477 0.0000
0.0000 0.0000 12.3573
ATOMIC_POSITIONS crystal
Mg 0.0000 0.0000 0.1680
Mg 0.0000 0.0000 0.8320
Mn 0.0000 0.0000 0.5000
Au 0.0000 0.5000 0.0000
Au 0.0000 0.5000 0.3361
Au 0.0000 0.5000 0.6639
Au 0.5000 0.0000 0.0000
Au 0.5000 0.0000 0.3361
Au 0.5000 0.0000 0.6639
Au 0.5000 0.5000 0.1682
Au 0.5000 0.5000 0.5000
Au 0.5000 0.5000 0.8318
```

[8]
The following is a DFT calculation (PBE) of a geometry-optimized MgMn2Au structure. Values from VASP.

Values from the calculation:
The value obtained for the density of states at the Fermi level is 0.687 states/eV per atom. The value obtained for the total magnetic moment is 7.00 μB/f.u. Its energy of formation from the pure elements is 17 meV/atom.

```
&SYSTEM
  ibrav = 0, nat = 4, ntyp = 3
/
ATOMIC_SPECIES
Mg 24.30 Mg.upf
Mn 54.94 Mn.upf
Au 196.97 Au.upf
CELL_PARAMETERS angstrom
3.9649 0.0000 0.0000
0.0000 3.9649 0.0000
0.0000 0.0000 4.0588
ATOMIC_POSITIONS crystal
Mg 0.0000 0.0000 0.0000
Mn 0.0000 0.5000 0.5000
Mn 0.5000 0.0000 0.5000
Au 0.5000 0.5000 0.0000
```

[9]
The following is a DFT calculation (PBE) of a geometry-optimized Mg2MnAu structure. Values from VASP.

Values from the calculation:
The value obtained for the density of states at the Fermi level is 0.619 states/eV per atom. The value obtained for the total magnetic moment is 3.53 μB/f.u. Its energy of formation from the pure elements is -160 meV/atom.

```
&SYSTEM
  ibrav = 0, nat = 4, ntyp = 3
/
ATOMIC_SPECIES
Mg 24.30 Mg.upf
Mn 54.94 Mn.upf
Au 196.97 Au.upf
CELL_PARAMETERS angstrom
4.2752 0.0000 0.0000
0.0000 4.2752 0.0000
0.0000 0.0000 3.8413
ATOMIC_POSITIONS crystal
Mg 0.0000 0.5000 0.0000
Mg 0.5000 0.0000 0.0000
Mn 0.0000 0.0000 0.5000
Au 0.5000 0.5000 0.5000
```

[10]
The following is a DFT calculation (PBE) of a geometry-optimized Mg2MnAu structure. Values from VASP.

Values from the calculation:
The value obtained for the density of states at the Fermi level is 0.546 states/eV per atom. The value obtained for the total magnetic moment is 3.55 μB/f.u. Its energy of formation from the pure elements is -140 meV/atom.

```
&SYSTEM
  ibrav = 0, nat = 4, ntyp = 3
/
ATOMIC_SPECIES
Mg 24.30 Mg.upf
Mn 54.94 Mn.upf
Au 196.97 Au.upf
CELL_PARAMETERS angstrom
3.3911 0.0000 0.0000
0.0000 3.3911 0.0000
0.0000 0.0000 6.1402
ATOMIC_POSITIONS crystal
Mg 0.0000 0.0000 0.2485
Mg 0.0000 0.0000 0.7515
Mn 0.5000 0.5000 0.5000
Au 0.5000 0.5000 0.0000
```

[11]
The following is a DFT calculation (PBE) of a geometry-optimized MgMn2Au structure. Values from VASP.

Values from the calculation:
The value obtained for the density of states at the Fermi level is 0.765 states/eV per atom. The value obtained for the total magnetic moment is 7.26 μB/f.u. Its energy of formation from the pure elements is 47 meV/atom.

```
&SYSTEM
  ibrav = 0, nat = 4, ntyp = 3
/
ATOMIC_SPECIES
Mg 24.30 Mg.upf
Mn 54.94 Mn.upf
Au 196.97 Au.upf
CELL_PARAMETERS angstrom
-1.9815 1.9927 4.1164
1.9815 -1.9927 4.1164
1.9815 1.9927 -4.1164
ATOMIC_POSITIONS crystal
Mg 0.0000 0.0000 0.0000
Mn 0.2503 0.7503 0.5000
Mn 0.7497 0.2497 0.5000
Au 0.5000 0.5000 0.0000
```

[12]
The following is a DFT calculation (PBE) of a geometry-optimized Mg2MnAu4 structure. Values from VASP.

Values from the calculation:
The value obtained for the density of states at the Fermi level is 0.506 states/eV per atom. The value obtained for the total magnetic moment is 3.95 μB/f.u. Its energy of formation from the pure elements is -284 meV/atom.

```
&SYSTEM
  ibrav = 0, nat = 7, ntyp = 3
/
ATOMIC_SPECIES
Mg 24.30 Mg.upf
Mn 54.94 Mn.upf
Au 196.97 Au.upf
CELL_PARAMETERS angstrom
-3.0113 3.0113 3.6516
3.0113 -3.0113 3.6516
3.0113 3.0113 -3.6516
ATOMIC_POSITIONS crystal
Mg 0.0000 0.5000 0.5000
Mg 0.5000 0.0000 0.5000
Mn 0.0000 0.0000 0.0000
Au 0.0000 0.0000 0.5000
Au 0.0000 0.5000 0.0000
Au 0.5000 0.0000 0.0000
Au 0.5000 0.5000 0.5000
```